Compound: La2BrCl
Source: Alexandria
Functional: PBEsol
Structure: optimized geometry

Properties
ρ = 6.4 g/cm3
Formation energy without anion corrections = -143.1 kJ/mol of atoms

abc: 3.6932 3.6932 8.8563
angles: 77.96 77.96 60.00
With the nearest neighbours (Å) after each atom.
Fractional positions:
La 0.2540 0.2540 0.2379  3 Cl 2.95, 3 Br 3.10
La 0.7460 0.7460 0.7621  3 Cl 2.95, 3 Br 3.10
Br 0.5000 0.5000 0.5000  6 La 3.10
Cl 0.0000 0.0000 0.0000  6 La 2.95